Entry 1:
Tm5Tl4Pb | Alexandria via LeMat-Bulk | GGA-PBE | relaxed; size of the total moment = 0.0 μB per cell; formation energy from the elements = -29.1 kJ per mole of atoms
1.0
3.6063 0.0000 0.0000
0.0000 3.6063 0.0000
0.0000 0.0000 20.4766
Tm Tl Pb
5 4 1
Direct
0.0000 0.0000 0.0000
0.0000 0.0000 0.1984
0.0000 0.0000 0.3979
0.0000 0.0000 0.6021
0.0000 0.0000 0.8016
0.5000 0.5000 0.0989
0.5000 0.5000 0.2973
0.5000 0.5000 0.7027
0.5000 0.5000 0.9011
0.5000 0.5000 0.5000

***

Entry 2:
Tm5Tl6Pb | Alexandria via LeMat-Bulk | GGA-PBE | relaxed; size of the total moment = 0.0 μB per cell; formation energy from the elements = -24.4 kJ per mole of atoms
1.0
-2.4398 4.4320 7.4382
2.4398 -4.4320 7.4382
2.4398 4.4320 -7.4382
Tm Tl Pb
5 6 1
Direct
0.0000 0.0000 0.0000
0.1762 0.6762 0.5000
0.3562 0.3562 0.0000
0.6438 0.6438 0.0000
0.8238 0.3238 0.5000
0.0687 0.8284 0.2403
0.2257 0.5000 0.7257
0.4119 0.1716 0.2403
0.5881 0.8284 0.7597
0.7743 0.5000 0.2743
0.9313 0.1716 0.7597
0.5000 0.0000 0.5000

***

Entry 3:
Tm6Tl4Pb7 | Alexandria via LeMat-Bulk | GGA-PBE | relaxed; size of the total moment = 0.0 μB per cell; formation energy from the elements = -9.0 kJ per mole of atoms
1.0
-4.9992 4.9992 4.9992
4.9992 -4.9992 4.9992
4.9992 4.9992 -4.9992
Tm Tl Pb
6 4 7
Direct
0.0000 0.2924 0.2924
0.0000 0.7076 0.7076
0.2924 0.0000 0.2924
0.2924 0.2924 0.0000
0.7076 0.0000 0.7076
0.7076 0.7076 0.0000
0.0000 0.0000 0.5000
0.0000 0.5000 0.0000
0.5000 0.0000 0.0000
0.5000 0.5000 0.5000
0.0000 0.0000 0.0000
0.2500 0.5000 0.7500
0.2500 0.7500 0.5000
0.5000 0.2500 0.7500
0.5000 0.7500 0.2500
0.7500 0.2500 0.5000
0.7500 0.5000 0.2500

***

Entry 4:
Tm2TlPb5 | Alexandria via LeMat-Bulk | GGA-PBE | relaxed; size of the total moment = 0.0 μB per cell; formation energy from the elements = -17.0 kJ per mole of atoms
1.0
-4.0005 4.0005 3.6320
4.0005 -4.0005 3.6320
4.0005 4.0005 -3.6320
Tm Tl Pb
2 1 5
Direct
0.0000 0.5000 0.5000
0.5000 0.0000 0.5000
0.9996 0.9996 0.0000
0.0002 0.0002 0.5003
0.0002 0.4999 0.0000
0.4999 0.0002 0.0000
0.5005 0.5005 0.0000
0.4999 0.4999 0.4997

***

Entry 5:
Tm6Tl3Pb2 | Alexandria via LeMat-Bulk | GGA-PBE | relaxed; size of the total moment = 0.0 μB per cell; formation energy from the elements = 2.5 kJ per mole of atoms
1.0
-2.4408 2.4408 14.7420
2.4408 -2.4408 14.7420
2.4408 2.4408 -14.7420
Tm Tl Pb
6 3 2
Direct
0.0650 0.5650 0.5000
0.2306 0.2306 0.0000
0.4350 0.9350 0.5000
0.5650 0.0650 0.5000
0.7694 0.7694 0.0000
0.9350 0.4350 0.5000
0.3413 0.3413 0.0000
0.5000 0.5000 0.0000
0.6587 0.6587 0.0000
0.1299 0.1299 0.0000
0.8701 0.8701 0.0000

***

Entry 6:
Tm8Tl3Pb4 | Alexandria via LeMat-Bulk | GGA-PBE | relaxed; size of the total moment = 0.0 μB per cell; formation energy from the elements = -18.8 kJ per mole of atoms
1.0
6.2213 -6.1880 0.0000
6.2213 6.1880 0.0000
-3.9212 0.0000 5.8163
Tm Tl Pb
8 3 4
Direct
0.1501 0.8499 0.0000
0.2438 0.2438 0.0020
0.2476 0.2476 0.4936
0.2515 0.7485 0.5000
0.7485 0.2515 0.5000
0.7524 0.7524 0.5064
0.7562 0.7562 0.9980
0.8499 0.1501 0.0000
0.0000 0.5000 0.0000
0.5000 0.0000 0.0000
0.5000 0.5000 0.5000
0.0000 0.0000 0.5000
0.0000 0.5000 0.5000
0.5000 0.0000 0.5000
0.5000 0.5000 0.0000

***

Entry 7:
Tm4TlPb5 | Alexandria via LeMat-Bulk | GGA-PBE | relaxed; energy relative to the lowest polymorph listed for this composition = 0 meV per atom; size of the total moment = 0.0 μB per cell; formation energy from the elements = -24.8 kJ per mole of atoms
1.0
4.0490 0.0000 0.0000
0.0000 4.0490 0.0000
0.0000 0.0000 17.2919
Tm Tl Pb
4 1 5
Direct
0.0000 0.0000 0.0985
0.0000 0.0000 0.3006
0.0000 0.0000 0.6994
0.0000 0.0000 0.9015
0.0000 0.0000 0.5000
0.5000 0.5000 0.0000
0.5000 0.5000 0.1984
0.5000 0.5000 0.3920
0.5000 0.5000 0.6080
0.5000 0.5000 0.8016

***

Entry 8:
Tm3Tl3Pb | Alexandria via LeMat-Bulk | GGA-PBE | relaxed; size of the total moment = 0.0 μB per cell; formation energy from the elements = -10.5 kJ per mole of atoms
1.0
8.9630 0.0000 0.0000
-4.4815 7.7622 0.0000
0.0000 0.0000 5.7563
Tm Tl Pb
6 6 2
Direct
0.0339 0.7934 0.2500
0.2066 0.2405 0.2500
0.2405 0.0339 0.7500
0.7595 0.9661 0.2500
0.7934 0.7595 0.7500
0.9661 0.2066 0.7500
0.0906 0.6257 0.7500
0.3743 0.4649 0.7500
0.4649 0.0906 0.2500
0.5351 0.9094 0.7500
0.6257 0.5351 0.2500
0.9094 0.3743 0.2500
0.3333 0.6667 0.2500
0.6667 0.3333 0.7500

***

Entry 9:
Tm4TlPb3 | Alexandria via LeMat-Bulk | GGA-PBE | relaxed; size of the total moment = 0.0 μB per cell; formation energy from the elements = -32.8 kJ per mole of atoms
1.0
3.6065 0.0000 0.0000
0.0000 5.2001 0.0000
0.0000 0.0000 12.0516
Tm Tl Pb
4 1 3
Direct
0.0000 0.0000 0.0000
0.0000 0.5000 0.2596
0.5000 0.0000 0.4982
0.5000 0.5000 0.7586
0.0000 0.0000 0.7410
0.0000 0.5000 0.5217
0.5000 0.0000 0.2408
0.5000 0.5000 0.0167

***

Entry 10:
Tm8TlPb2 | Alexandria via LeMat-Bulk | GGA-PBE | relaxed; size of the total moment = 0.0 μB per cell; formation energy from the elements = -16.5 kJ per mole of atoms
1.0
9.5648 -2.5381 0.0000
9.5648 2.5381 0.0000
-1.4337 0.0000 6.6481
Tm Tl Pb
8 1 2
Direct
0.0133 0.0133 0.2555
0.2131 0.2131 0.8456
0.3408 0.3408 0.4753
0.4084 0.4084 0.0123
0.5916 0.5916 0.9877
0.6592 0.6592 0.5247
0.7869 0.7869 0.1544
0.9867 0.9867 0.7445
0.5000 0.5000 0.5000
0.1776 0.1776 0.2781
0.8224 0.8224 0.7219

***

Entry 11:
TmTl2Pb2 | Alexandria via LeMat-Bulk | GGA-PBE | relaxed; energy relative to the lowest polymorph listed for this composition = 12 meV per atom; size of the total moment = 0.0 μB per cell; formation energy from the elements = -10.2 kJ per mole of atoms
1.0
5.8839 -2.9956 0.0000
5.8839 2.9956 0.0000
-2.8761 0.0000 8.2222
Tm Tl Pb
2 4 4
Direct
0.1680 0.8320 0.7500
0.8320 0.1680 0.2500
0.0543 0.3655 0.6567
0.3655 0.0543 0.1567
0.6345 0.9457 0.8433
0.9457 0.6345 0.3433
0.2438 0.5870 0.0591
0.4130 0.7562 0.4409
0.5870 0.2438 0.5591
0.7562 0.4130 0.9409

***

Entry 12:
Tm7TlPb4 | Alexandria via LeMat-Bulk | GGA-PBE | relaxed; size of the total moment = 0.0 μB per cell; formation energy from the elements = -13.4 kJ per mole of atoms
1.0
7.4771 -2.8199 0.0000
7.4771 2.8199 0.0000
-6.8735 0.0000 8.7852
Tm Tl Pb
7 1 4
Direct
0.0000 0.0000 0.0000
0.1514 0.1514 0.5729
0.2935 0.2935 0.1322
0.4219 0.4219 0.6810
0.5781 0.5781 0.3190
0.7065 0.7065 0.8678
0.8486 0.8486 0.4271
0.5000 0.5000 0.0000
0.0791 0.0791 0.7796
0.2211 0.2211 0.3383
0.7789 0.7789 0.6617
0.9209 0.9209 0.2204

***

Entry 13:
Tm5TlPb6 | Alexandria via LeMat-Bulk | GGA-PBE | relaxed; size of the total moment = 0.0 μB per cell; formation energy from the elements = -31.7 kJ per mole of atoms
1.0
-2.4284 4.4998 7.6244
2.4284 -4.4998 7.6244
2.4284 4.4998 -7.6244
Tm Tl Pb
5 1 6
Direct
0.0000 0.0000 0.0000
0.1732 0.6732 0.5000
0.3551 0.3551 0.0000
0.6449 0.6449 0.0000
0.8268 0.3268 0.5000
0.5000 0.0000 0.5000
0.0739 0.8295 0.2444
0.2309 0.5000 0.7309
0.4149 0.1705 0.2444
0.5851 0.8295 0.7556
0.7691 0.5000 0.2691
0.9261 0.1705 0.7556

***

Entry 14:
Tm2TlPb4 | Alexandria via LeMat-Bulk | GGA-PBE | relaxed; size of the total moment = 0.0 μB per cell; formation energy from the elements = -15.7 kJ per mole of atoms
1.0
4.6170 -4.7716 0.0000
4.6170 4.7716 0.0000
-4.5640 0.0000 4.8123
Tm Tl Pb
2 1 4
Direct
0.0000 0.5000 0.0000
0.5000 0.0000 0.0000
0.0000 0.0000 0.5000
0.0000 0.0000 0.0000
0.0000 0.5000 0.5000
0.5000 0.0000 0.5000
0.5000 0.5000 0.0000

***

Entry 15:
Tm2TlPb2 | Alexandria via LeMat-Bulk | GGA-PBE | relaxed; energy relative to the lowest polymorph listed for this composition = 93 meV per atom; size of the total moment = 0.0 μB per cell; formation energy from the elements = -16.3 kJ per mole of atoms
1.0
2.5186 -8.6919 0.0000
2.5186 8.6919 0.0000
0.0000 0.0000 3.6001
Tm Tl Pb
2 1 2
Direct
0.1805 0.8195 0.0000
0.8195 0.1805 0.0000
0.0000 0.0000 0.0000
0.3571 0.6429 0.5000
0.6429 0.3571 0.5000

***

Entry 16:
Tm2Tl3Pb3 | Alexandria via LeMat-Bulk | GGA-PBE | relaxed; size of the total moment = 0.0 μB per cell; formation energy from the elements = -18.7 kJ per mole of atoms
1.0
4.6541 0.0000 0.0000
0.0000 5.0201 0.0000
0.0000 0.0000 9.5574
Tm Tl Pb
2 3 3
Direct
0.0000 0.0000 0.2479
0.0000 0.0000 0.7521
0.0000 0.5000 0.0000
0.5000 0.5000 0.2468
0.5000 0.5000 0.7532
0.0000 0.5000 0.5000
0.5000 0.0000 0.0000
0.5000 0.0000 0.5000

***

Entry 17:
Tm2TlPb2 | Alexandria via LeMat-Bulk | GGA-PBE | relaxed; energy relative to the lowest polymorph listed for this composition = 0 meV per atom; size of the total moment = 0.0 μB per cell; formation energy from the elements = -25.3 kJ per mole of atoms
1.0
5.9410 -2.3265 0.0000
5.9410 2.3265 0.0000
-2.0544 0.0000 10.1173
Tm Tl Pb
4 2 4
Direct
0.0502 0.0502 0.3506
0.1513 0.1513 0.0508
0.8487 0.8487 0.9492
0.9498 0.9498 0.6494
0.2615 0.2615 0.7474
0.7385 0.7385 0.2526
0.3583 0.3583 0.4365
0.4493 0.4493 0.1435
0.5507 0.5507 0.8565
0.6417 0.6417 0.5635

***

Entry 18:
Tm10Tl3Pb3 | Alexandria via LeMat-Bulk | GGA-PBE | relaxed; size of the total moment = 0.0 μB per cell; formation energy from the elements = -38.7 kJ per mole of atoms
1.0
8.8852 0.0000 0.0000
-4.4426 7.6948 0.0000
0.0000 0.0000 6.6054
Tm Tl Pb
10 3 3
Direct
0.0000 0.2343 0.0000
0.0000 0.7646 0.5000
0.2343 0.0000 0.0000
0.2354 0.2354 0.5000
0.3333 0.6667 0.2562
0.3333 0.6667 0.7438
0.6667 0.3333 0.2562
0.6667 0.3333 0.7438
0.7646 0.0000 0.5000
0.7657 0.7657 0.0000
0.0000 0.3978 0.5000
0.3978 0.0000 0.5000
0.6022 0.6022 0.5000
0.0000 0.6008 0.0000
0.3992 0.3992 0.0000
0.6008 0.0000 0.0000

***

Entry 19:
Tm5TlPb4 | Alexandria via LeMat-Bulk | GGA-PBE | relaxed; energy relative to the lowest polymorph listed for this composition = 87 meV per atom; size of the total moment = 0.0 μB per cell; formation energy from the elements = -22.8 kJ per mole of atoms
1.0
-4.8794 4.8794 3.1408
4.8794 -4.8794 3.1408
4.8794 4.8794 -3.1408
Tm Tl Pb
5 1 4
Direct
0.0000 0.0000 0.0000
0.3585 0.5824 0.5873
0.5824 0.9950 0.2239
0.7712 0.3585 0.7761
0.9950 0.7712 0.4127
0.4937 0.4937 0.0000
0.0686 0.4605 0.1754
0.2851 0.8932 0.8246
0.4605 0.2851 0.3918
0.8932 0.0686 0.6082

***

Entry 20:
Tm6Tl3Pb | Alexandria via LeMat-Bulk | GGA-PBE | relaxed; size of the total moment = 0.0 μB per cell; formation energy from the elements = -17.8 kJ per mole of atoms
1.0
4.9812 -8.5507 0.0000
4.9812 8.5507 0.0000
0.0000 0.0000 6.7622
Tm Tl Pb
12 6 2
Direct
0.0085 0.9915 0.5000
0.0854 0.5476 0.9854
0.2366 0.3558 0.7215
0.3014 0.6986 0.5026
0.3558 0.2366 0.2215
0.4524 0.9146 0.9854
0.5476 0.0854 0.4854
0.6442 0.7634 0.7215
0.6986 0.3014 0.0026
0.7634 0.6442 0.2215
0.9146 0.4524 0.4854
0.9915 0.0085 0.0000
0.0847 0.3067 0.2677
0.3067 0.0847 0.7677
0.4237 0.5763 0.0847
0.5763 0.4237 0.5847
0.6933 0.9153 0.2677
0.9153 0.6933 0.7677
0.1548 0.8452 0.2335
0.8452 0.1548 0.7335

***

Entry 21:
Tm6TlPb5 | Alexandria via LeMat-Bulk | GGA-PBE | relaxed; size of the total moment = 0.0 μB per cell; formation energy from the elements = -31.5 kJ per mole of atoms
1.0
4.4644 -8.4653 0.0000
4.4644 8.4653 0.0000
-3.4376 0.0000 4.3796
Tm Tl Pb
6 1 5
Direct
0.0794 0.4143 0.7467
0.2443 0.2443 0.2440
0.4143 0.0794 0.7467
0.5857 0.9206 0.2533
0.7557 0.7557 0.7560
0.9206 0.5857 0.2533
0.5000 0.5000 0.0000
0.0000 0.0000 0.5000
0.1687 0.8313 0.0000
0.3377 0.6623 0.5000
0.6623 0.3377 0.5000
0.8313 0.1687 0.0000